Computed, not measured: crystalline Na2CuBr2Cl2 at its relaxed geometry at the PBE-GGA level of DFT.

Computed properties:
- D(E_F): 5.8 states/eV per cell
- Formation energy from raw total energies: -1.0366 eV/atom
- Calculated volume: 24.93 A^3/atom
- Total energy: -42.06 eV/cell
- Crystal system: tetragonal
- Spin magnetization: 1.32 μB/cell

Cell lengths 4.7875, 4.7875, 15.2294 Å; angles 90.00, 90.00, 90.00 degrees
With the nearest neighbours (Å) after each atom.
Space group I4/mmm (No. 139)
Unique sites:
Na (0.0000, 0.0000, 0.1327)  1 Br 3.00, 4 Cl 3.13
Cu (0.0000, 0.0000, 0.5000)  4 Cl 2.39, 2 Br 2.59
Br (0.0000, 0.0000, 0.3300)  1 Cu 2.59
Cl (0.0000, 0.5000, 0.0000)  2 Cu 2.39